Entry 1:
The following is a DFT calculation (meta-GGA SCAN) of a PBEsol-optimized structure of Be2NiOs.

Cell lengths 2.572, 2.572, 7.819 Å; angles 80.53, 80.53, 60.00 degrees
Positions (direct):
Be1 0.003 0.003 0.992
Be2 0.752 0.752 0.744
Os1 0.251 0.251 0.246
Ni1 0.494 0.494 0.518

Computed properties:
space-group type	R3m, No. 160
E	-24.09	eV/atom
calculated volume	44	Å³/cell
M_tot	0.00	μB/f.u.

=====

Entry 2:
The following is a DFT calculation (meta-GGA SCAN) of a PBEsol-optimized structure of Be2NiOs.

Cell lengths 2.748, 3.698, 4.576 Å; angles 113.83, 107.47, 90.00 degrees
Positions (direct):
Be1 0.013 0.013 0.027
Be2 0.749 0.249 0.499
Os1 0.250 0.750 0.500
Ni1 0.487 0.487 0.974

Computed properties:
space-group type	Imm2, No. 44
E	-24.41	eV/atom
calculated volume	40	Å³/cell
M_tot	0.00	μB/f.u.